1.
DFT (GGA-PBE) results for crystalline SmTm5Th at its relaxed geometry.

a b c (Å): 6.0937 17.4076 8.5703
angles (deg): 90.00 102.28 90.00
Space group C2/c (No. 15)
One atom of each set of equivalent atoms:
Sm (0.0000, 0.0127, 0.2500) [4 per cell]
Tm (0.0000, 0.3512, 0.2500) [4 per cell]
Tm (0.1176, 0.1582, 0.9599) [8 per cell]
Tm (0.2029, 0.3128, 0.6461) [8 per cell]
Th (0.0000, 0.5000, 0.0000) [4 per cell]

Values from the calculation:
uncorrected energy: -4.7380 eV/atom
D(E_F): 1.62 states/eV per atom
calculated formation energy: 0.1901 eV/atom
calculated density: 9.175 g/cm³

---

2.
DFT (GGA-PBE) results for crystalline Pm6ZnIn5 at its relaxed geometry.

a b c (Å): 5.4175 7.6387 8.5451
angles (deg): 90.00 108.27 90.00
Space group P2/m (No. 10)
One atom of each set of equivalent atoms:
Pm (0.0000, 0.2427, 0.0000) [2 per cell]
Pm (0.3370, 0.2457, 0.6737) [4 per cell]
Zn (0.5000, 0.0000, 0.0000) [1 per cell]
In (0.1663, 0.0000, 0.3331) [2 per cell]
In (0.1679, 0.5000, 0.3363) [2 per cell]
In (0.5000, 0.5000, 0.0000) [1 per cell]

Values from the calculation:
uncorrected energy: -4.0874 eV/atom
D(E_F): 0.68 states/eV per atom
calculated formation energy: -0.4649 eV/atom
calculated density: 7.465 g/cm³

---

3.
DFT (GGA-PBE) results for crystalline NdSc2Cr2C4 at its relaxed geometry.

a b c (Å): 13.1465 3.1832 5.7789
angles (deg): 90.00 113.68 90.00
Space group C2/m (No. 12)
One atom of each set of equivalent atoms:
Nd (0.0000, 0.0000, 0.0000) [2 per cell]
Sc (0.1527, 0.0000, 0.5414) [4 per cell]
Cr (0.1756, 0.5000, 0.9723) [4 per cell]
C (0.0227, 0.5000, 0.6316) [4 per cell]
C (0.2238, 0.0000, 0.2178) [4 per cell]

Values from the calculation:
uncorrected energy: -8.3451 eV/atom
D(E_F): 0.57 states/eV per atom
calculated formation energy: -0.1703 eV/atom
calculated density: 5.791 g/cm³

---

4.
DFT (GGA-PBE) results for crystalline TaCo2Rh at its relaxed geometry.

a b c (Å): 2.7694 3.5734 5.3578
angles (deg): 90.00 90.00 90.00
Space group Pmmm (No. 47)
One atom of each set of equivalent atoms:
Ta (0.0000, 0.0000, 0.0000) [1 per cell]
Co (0.5000, 0.5000, 0.2582) [2 per cell]
Rh (0.0000, 0.0000, 0.5000) [1 per cell]

Values from the calculation:
uncorrected energy: -8.4648 eV/atom
D(E_F): 1.47 states/eV per atom
calculated formation energy: -0.1108 eV/atom
calculated density: 12.581 g/cm³